one:
Here is a geometry-optimized RuSe2O2 structure from Alexandria. Energies are from GGA-PBE.

Summary:
As for the space-group type: I4/mmm (139). The value obtained for the density of states at the Fermi level is 2.25 states/eV/cell. The crystal system is tetragonal.

Unit cell a=6.3657 b=6.3657 c=6.3657 alpha=149.78 beta=149.78 gamma=43.26
Atoms (fractional coordinates):
Ru: 0.0000 0.0000 0.0000
Se: 0.3680 0.3680 0.0000
Se: 0.6320 0.6320 0.0000
O: 0.2500 0.7500 0.5000
O: 0.7500 0.2500 0.5000

two:
Here is a geometry-optimized RuSe2O2 structure from Alexandria. Energies are from GGA-PBE.

Summary:
As for the space-group type: P4/mmm (123). The value obtained for the density of states at the Fermi level is 7.65 states/eV/cell. The crystal system is tetragonal.

Unit cell a=3.7126 b=3.7126 c=7.6404 alpha=90.00 beta=90.00 gamma=90.00
Atoms (fractional coordinates):
Ru: 0.0000 0.0000 0.0000
Se: 0.0000 0.5000 0.5000
Se: 0.5000 0.0000 0.5000
O: 0.0000 0.5000 0.0000
O: 0.5000 0.0000 0.0000

three:
Here is a geometry-optimized RuSe2O2 structure from Alexandria. Energies are from GGA-PBE.

Summary:
As for the space-group type: P4/mbm (127). The value obtained for the density of states at the Fermi level is 4.98 states/eV/cell. The crystal system is tetragonal.

Unit cell a=6.3647 b=6.3647 c=3.8658 alpha=90.00 beta=90.00 gamma=90.00
Atoms (fractional coordinates):
Ru: 0.0000 0.0000 0.0000
Ru: 0.5000 0.5000 0.0000
Se: 0.1487 0.3513 0.0000
Se: 0.3513 0.8513 0.0000
Se: 0.6487 0.1487 0.0000
Se: 0.8513 0.6487 0.0000
O: 0.1820 0.3180 0.5000
O: 0.3180 0.8180 0.5000
O: 0.6820 0.1820 0.5000
O: 0.8180 0.6820 0.5000

Winner for stability: two

one:
Here is a geometry-optimized Sm2RuO structure from Alexandria. Energies are from GGA-PBE.

Summary:
As for the space-group type: P4/mmm (123). The value obtained for the density of states at the Fermi level is 0.84 states/eV/cell. The crystal system is tetragonal.

Unit cell a=3.2642 b=3.2642 c=6.8270 alpha=90.00 beta=90.00 gamma=90.00
Atoms (fractional coordinates):
Sm: 0.0000 0.0000 0.2350
Sm: 0.0000 0.0000 0.7650
Ru: 0.5000 0.5000 0.5000
O: 0.5000 0.5000 0.0000

two:
Here is a geometry-optimized Sm2RuO structure from Alexandria. Energies are from GGA-PBE.

Summary:
As for the space-group type: R-3m (166). The value obtained for the density of states at the Fermi level is 3.28 states/eV/cell. The crystal system is trigonal.

Unit cell a=7.3802 b=7.3802 c=7.3802 alpha=27.77 beta=27.77 gamma=27.77
Atoms (fractional coordinates):
Sm: 0.2386 0.2386 0.2386
Sm: 0.7614 0.7614 0.7614
Ru: 0.0000 0.0000 0.0000
O: 0.5000 0.5000 0.5000

Winner for stability: two

one:
Here is a geometry-optimized SnRu2O structure from Alexandria. Energies are from GGA-PBE.

Summary:
As for the space-group type: I-42d (122). The value obtained for the density of states at the Fermi level is 1.43 states/eV/cell. The crystal system is tetragonal.

Unit cell a=6.1501 b=6.1501 c=6.1501 alpha=126.26 beta=126.26 gamma=79.47
Atoms (fractional coordinates):
Sn: 0.0000 0.0000 0.0000
Sn: 0.7500 0.2500 0.5000
Ru: 0.2385 0.6250 0.1135
Ru: 0.3750 0.4885 0.6135
Ru: 0.5115 0.1250 0.8865
Ru: 0.8750 0.7615 0.3865
O: 0.2500 0.7500 0.5000
O: 0.5000 0.5000 0.0000

two:
Here is a geometry-optimized SnRu2O structure from Alexandria. Energies are from GGA-PBE.

Summary:
As for the space-group type: Fm-3m (225). The value obtained for the density of states at the Fermi level is 5.48 states/eV/cell. The crystal system is cubic.

Unit cell a=4.3655 b=4.3655 c=4.3655 alpha=60.00 beta=60.00 gamma=60.00
Atoms (fractional coordinates):
Sn: 0.0000 0.0000 0.0000
Ru: 0.2500 0.2500 0.2500
Ru: 0.7500 0.7500 0.7500
O: 0.5000 0.5000 0.5000

Winner for stability: one

one:
Here is a geometry-optimized Sr4Ru3O10 structure from Alexandria. Energies are from GGA-PBE.

Summary:
As for the space-group type: I4/mmm (139). The value obtained for the density of states at the Fermi level is 4.47 states/eV/cell. The crystal system is tetragonal.

Unit cell a=14.6047 b=14.6047 c=14.6047 alpha=164.35 beta=164.35 gamma=22.20
Atoms (fractional coordinates):
Sr: 0.0692 0.0692 0.0000
Sr: 0.2029 0.2029 0.0000
Sr: 0.7971 0.7971 0.0000
Sr: 0.9308 0.9308 0.0000
Ru: 0.3588 0.3588 0.0000
Ru: 0.5000 0.5000 0.0000
Ru: 0.6412 0.6412 0.0000
O: 0.0000 0.5000 0.5000
O: 0.1394 0.6394 0.5000
O: 0.2882 0.2882 0.0000
O: 0.3606 0.8606 0.5000
O: 0.4307 0.4307 0.0000
O: 0.5000 0.0000 0.5000
O: 0.5693 0.5693 0.0000
O: 0.6394 0.1394 0.5000
O: 0.7118 0.7118 0.0000
O: 0.8606 0.3606 0.5000

two:
Here is a geometry-optimized Sr4Ru3O10 structure from Alexandria. Energies are from GGA-PBE.

Summary:
As for the space-group type: Cmce (64). The value obtained for the density of states at the Fermi level is 9.02 states/eV/cell. The crystal system is orthorhombic.

Unit cell a=14.8344 b=14.8344 c=5.5622 alpha=90.00 beta=90.00 gamma=21.61
Atoms (fractional coordinates):
Sr: 0.0697 0.0697 0.0000
Sr: 0.2043 0.2043 0.0000
Sr: 0.2957 0.2957 0.5000
Sr: 0.4303 0.4303 0.5000
Sr: 0.5697 0.5697 0.5000
Sr: 0.7043 0.7043 0.5000
Sr: 0.7957 0.7957 0.0000
Sr: 0.9303 0.9303 0.0000
Ru: 0.0000 0.0000 0.5000
Ru: 0.1403 0.1403 0.5000
Ru: 0.3597 0.3597 0.0000
Ru: 0.5000 0.5000 0.0000
Ru: 0.6403 0.6403 0.0000
Ru: 0.8597 0.8597 0.5000
O: 0.0687 0.0687 0.5000
O: 0.0690 0.6529 0.2081
O: 0.1529 0.5690 0.7081
O: 0.1968 0.8032 0.8032
O: 0.2106 0.2106 0.5000
O: 0.2894 0.2894 0.0000
O: 0.3032 0.6968 0.3032
O: 0.3471 0.9310 0.2081
O: 0.4313 0.4313 0.0000
O: 0.4310 0.8471 0.7081
O: 0.5690 0.1529 0.2919
O: 0.5687 0.5687 0.0000
O: 0.6529 0.0690 0.7919
O: 0.6968 0.3032 0.6968
O: 0.7106 0.7106 0.0000
O: 0.7894 0.7894 0.5000
O: 0.8032 0.1968 0.1968
O: 0.8471 0.4310 0.2919
O: 0.9310 0.3471 0.7919
O: 0.9313 0.9313 0.5000

Winner for stability: two

one:
Here is a geometry-optimized Sr2RuO6 structure from Alexandria. Energies are from GGA-PBE.

Summary:
As for the space-group type: C2/m (12). The value obtained for the density of states at the Fermi level is 0.02 states/eV/cell. The crystal system is monoclinic.

Unit cell a=5.6277 b=5.6277 c=5.9627 alpha=117.36 beta=117.36 gamma=58.58
Atoms (fractional coordinates):
Sr: 0.2470 0.2470 0.2439
Sr: 0.7530 0.7530 0.7561
Ru: 0.5000 0.5000 0.0000
O: 0.1977 0.6767 0.1523
O: 0.2920 0.2920 0.6943
O: 0.3233 0.8023 0.8477
O: 0.6767 0.1977 0.1523
O: 0.7080 0.7080 0.3057
O: 0.8023 0.3233 0.8477

two:
Here is a geometry-optimized Sr2RuO6 structure from Alexandria. Energies are from GGA-PBE.

Summary:
As for the space-group type: Immm (71). The value obtained for the density of states at the Fermi level is 4.73 states/eV/cell. The crystal system is orthorhombic.

Unit cell a=6.4794 b=6.4794 c=6.4794 alpha=144.18 beta=127.56 gamma=65.14
Atoms (fractional coordinates):
Sr: 0.1723 0.1723 0.0000
Sr: 0.8277 0.8277 0.0000
Ru: 0.5000 0.5000 0.0000
O: 0.1393 0.3689 0.7704
O: 0.3293 0.0000 0.3293
O: 0.4014 0.6311 0.7704
O: 0.5986 0.3689 0.2296
O: 0.6707 0.0000 0.6707
O: 0.8607 0.6311 0.2296

Winner for stability: one

one:
Here is a geometry-optimized Sr2Ru2O7 structure from Alexandria. Energies are from GGA-PBE.

Summary:
As for the space-group type: Cmmm (65). The value obtained for the density of states at the Fermi level is 4.78 states/eV/cell. The crystal system is orthorhombic.

Unit cell a=5.0868 b=5.0868 c=5.4520 alpha=90.00 beta=90.00 gamma=97.34
Atoms (fractional coordinates):
Sr: 0.2324 0.2324 0.0000
Sr: 0.7676 0.7676 0.0000
Ru: 0.2795 0.7205 0.5000
Ru: 0.7205 0.2795 0.5000
O: 0.0000 0.0000 0.5000
O: 0.0000 0.5000 0.2809
O: 0.0000 0.5000 0.7191
O: 0.5000 0.0000 0.2809
O: 0.5000 0.0000 0.7191
O: 0.5000 0.5000 0.2998
O: 0.5000 0.5000 0.7002

two:
Here is a geometry-optimized Sr2Ru2O7 structure from Alexandria. Energies are from GGA-PBE.

Summary:
As for the space-group type: Fd-3m (227). The value obtained for the density of states at the Fermi level is 19.87 states/eV/cell. The crystal system is cubic.

Unit cell a=7.4460 b=7.4460 c=7.4460 alpha=60.00 beta=60.00 gamma=60.00
Atoms (fractional coordinates):
Sr: 0.0000 0.0000 0.0000
Sr: 0.0000 0.0000 0.5000
Sr: 0.0000 0.5000 0.0000
Sr: 0.5000 0.0000 0.0000
Ru: 0.0000 0.5000 0.5000
Ru: 0.5000 0.0000 0.5000
Ru: 0.5000 0.5000 0.0000
Ru: 0.5000 0.5000 0.5000
O: 0.1250 0.1250 0.1250
O: 0.1862 0.1862 0.5638
O: 0.1862 0.5638 0.1862
O: 0.1862 0.5638 0.5638
O: 0.4362 0.4362 0.8138
O: 0.4362 0.8138 0.4362
O: 0.4362 0.8138 0.8138
O: 0.5638 0.1862 0.1862
O: 0.5638 0.1862 0.5638
O: 0.5638 0.5638 0.1862
O: 0.8138 0.4362 0.4362
O: 0.8138 0.4362 0.8138
O: 0.8138 0.8138 0.4362
O: 0.8750 0.8750 0.8750

Winner for stability: two